First-principles (PBE-GGA) data for V2OsC after structural relaxation, as listed in Alexandria via LeMat-Bulk.

Geometry as POSCAR:
```
V2OsC
1.0
-3.4335 3.4335 2.1157
3.4335 -3.4335 2.1157
3.4335 3.4335 -2.1157
V Os C
4 2 2
Direct
0.0104 0.6250 0.8854
0.3750 0.2604 0.3854
0.7396 0.1250 0.1146
0.8750 0.9896 0.6146
0.2500 0.7500 0.5000
0.5000 0.5000 0.0000
0.0000 0.0000 0.0000
0.7500 0.2500 0.5000
```

Properties
For the volume, the calculation gives 100 Å³ per cell. As for the formation energy: 83 meV/atom. Its density of states at the Fermi level is 2.43 states/eV/f.u.


First-principles (PBE-GGA) data for CaVW3 after structural relaxation, as listed in Alexandria via LeMat-Bulk.

Geometry as POSCAR:
```
CaVW3
1.0
4.5816 0.0000 0.0000
0.0000 4.5816 0.0000
0.0000 0.0000 4.5816
Ca V W
1 1 3
Direct
0.0000 0.0000 0.0000
0.5000 0.5000 0.5000
0.0000 0.0000 0.5000
0.0000 0.5000 0.0000
0.5000 0.0000 0.0000
```

Properties
The value obtained for the distance to the lowest polymorph of the same formula is 1.769 eV/atom. For the volume, the calculation gives 96 Å³ per cell. As for the formation energy: 3176 meV/atom. Its density of states at the Fermi level is 6.12 states/eV/f.u.